No. 1
A plane-wave DFT calculation with GGA+U was carried out for a relaxed structure of Fe4O3F5.

Properties
- E above lowest polymorph (meV per atom) = 49
- E_tot (eV/cell) = -140.21
- total moment (μB per atom) = 1.5000
- calculated volume (Å³/atom) = 11.76

Cell: 7.7811 7.7811 6.5107 Å, 65.59 65.59 53.89°
Last column: magnetic moment on the atom in μB.
Positions (direct):
1 O 0.3748 0.3748 0.2946  0.28
2 O 0.8767 0.8767 0.8208  0.20
3 O 0.6252 0.6252 0.7054  0.28
4 O 0.1233 0.1233 0.1792  0.20
5 O 0.8779 0.8779 0.4177  0.22
6 O 0.1221 0.1221 0.5823  0.22
7 F 0.4453 0.0432 0.7626  0.11
8 F 0.1940 0.8060 0.0000  0.13
9 F 0.3754 0.3754 0.9127  0.10
10 F 0.8060 0.1940 0.0000  0.13
11 F 0.7031 0.2969 0.5000  0.09
12 F 0.6246 0.6246 0.0873  0.10
13 F 0.2969 0.7031 0.5000  0.09
14 F 0.5547 0.9568 0.2374  0.11
15 F 0.0432 0.4453 0.7626  0.11
16 F 0.9568 0.5547 0.2374  0.11
17 Fe 0.6230 0.6230 0.4053  3.83
18 Fe 0.2406 0.2406 0.2688  4.39
19 Fe 0.1271 0.1271 0.8781  4.40
20 Fe 0.3770 0.3770 0.5947  3.83
21 Fe 0.5000 0.5000 0.0000  4.41
22 Fe 0.8729 0.8729 0.1219  4.40
23 Fe 0.7594 0.7594 0.7312  4.39
24 Fe 0.0000 0.0000 0.5000  3.19


No. 2
A plane-wave DFT calculation with GGA+U was carried out for a relaxed structure of Fe2O3F.

Properties
- E above lowest polymorph (meV per atom) = 0
- E_tot (eV/cell) = -183.40
- total moment (μB per atom) = 0.3011
- calculated volume (Å³/atom) = 10.98

Cell: 4.6783 4.6783 15.0831 Å, 90.00 90.00 94.15°
Last column: magnetic moment on the atom in μB.
Positions (direct):
1 O 0.6940 0.6901 0.4008  -0.01
2 O 0.6940 0.6901 0.5992  -0.01
3 O 0.1823 0.8177 0.8974  0.12
4 O 0.6861 0.7020 0.0000  0.02
5 O 0.8227 0.1773 0.6998  -0.15
6 O 0.6946 0.6896 0.2010  0.03
7 O 0.1803 0.8197 0.5000  0.26
8 O 0.3104 0.3054 0.7990  0.03
9 O 0.3099 0.3060 0.4008  -0.01
10 O 0.3099 0.3060 0.5992  -0.01
11 O 0.2980 0.3139 0.0000  0.02
12 O 0.3104 0.3054 0.2010  0.03
13 O 0.6946 0.6896 0.7990  0.03
14 O 0.8227 0.1773 0.3002  -0.15
15 O 0.1823 0.8177 0.1026  0.12
16 F 0.2043 0.7957 0.3008  -0.02
17 F 0.2043 0.7957 0.6992  -0.02
18 F 0.7988 0.2012 0.5000  0.14
19 F 0.7993 0.2007 0.0992  0.01
20 F 0.7993 0.2007 0.9008  0.01
21 Fe 0.0025 0.9975 0.1994  -4.18
22 Fe 0.4761 0.5239 0.1011  4.16
23 Fe 0.5308 0.4692 0.3009  -4.11
24 Fe 0.4698 0.5302 0.5000  4.12
25 Fe 0.0025 0.9975 0.8006  -4.18
26 Fe 0.4761 0.5239 0.8989  4.16
27 Fe 0.0158 0.9842 0.0000  4.20
28 Fe 0.9985 0.0015 0.3995  4.20
29 Fe 0.9985 0.0015 0.6005  4.20
30 Fe 0.5308 0.4692 0.6991  -4.11


No. 3
A plane-wave DFT calculation with GGA+U was carried out for a relaxed structure of FeO4F2.

Properties
- E_tot (eV/cell) = -141.20
- total moment (μB per atom) = 1.1460
- calculated volume (Å³/atom) = 15.72

Cell: 6.1950 5.5873 12.7129 Å, 90.00 90.00 90.00°
Last column: magnetic moment on the atom in μB.
Positions (direct):
1 Fe 0.8833 0.6064 0.9086  4.30
2 Fe 0.1167 0.1064 0.0914  4.30
3 Fe 0.8833 0.1064 0.5914  4.30
4 Fe 0.1167 0.6064 0.4086  4.30
5 F 0.5984 0.0565 0.5821  0.23
6 F 0.9701 0.3733 0.5006  0.12
7 F 0.0299 0.3733 0.0006  0.12
8 F 0.9701 0.8733 0.9994  0.12
9 F 0.4016 0.0565 0.0821  0.23
10 F 0.5984 0.5565 0.9179  0.23
11 F 0.0299 0.8733 0.4994  0.12
12 F 0.4016 0.5565 0.4179  0.23
13 O 0.1375 0.3706 0.2080  0.55
14 O 0.5574 0.6306 0.1928  0.82
15 O 0.0188 0.3611 0.2940  0.53
16 O 0.3413 0.9886 0.8625  0.80
17 O 0.9812 0.3611 0.7940  0.53
18 O 0.3413 0.4886 0.6375  0.80
19 O 0.8625 0.3706 0.7080  0.55
20 O 0.6587 0.4886 0.1375  0.80
21 O 0.0188 0.8611 0.2060  0.53
22 O 0.5574 0.1306 0.3072  0.82
23 O 0.6587 0.9886 0.3625  0.80
24 O 0.9812 0.8611 0.7060  0.53
25 O 0.1375 0.8706 0.2920  0.55
26 O 0.8625 0.8706 0.7920  0.55
27 O 0.4426 0.1306 0.8072  0.82
28 O 0.4426 0.6306 0.6928  0.82


No. 4
A plane-wave DFT calculation with GGA+U was carried out for a relaxed structure of FeOF.

Properties
- E_tot (eV/cell) = -72.27
- total moment (μB per atom) = 1.6665
- calculated volume (Å³/atom) = 12.64

Cell: 3.0933 5.0502 9.7087 Å, 90.00 90.00 90.00°
Last column: magnetic moment on the atom in μB.
Positions (direct):
1 O 0.7500 0.3285 0.7275  0.35
2 O 0.7500 0.1715 0.2275  0.35
3 O 0.2500 0.8284 0.7725  0.35
4 O 0.2500 0.6716 0.2725  0.35
5 F 0.7500 0.6911 0.5332  0.12
6 F 0.7500 0.8089 0.0332  0.12
7 F 0.2500 0.1911 0.9669  0.12
8 F 0.2500 0.3089 0.4669  0.12
9 Fe 0.7500 0.0163 0.8439  4.41
10 Fe 0.2500 0.9836 0.1561  4.41
11 Fe 0.7500 0.4837 0.3439  4.41
12 Fe 0.2500 0.5164 0.6561  4.41